Entry 1:
VASP calculation (GGA-PBE) on a geometry-optimized HIBr2 structure.

a = 6.545 Å, b = 6.545 Å, c = 6.774 Å
α = 61.11°, β = 61.11°, γ = 90.00°
Each line ends with the local moment (μB).
Atoms (fractional coordinates):
I: 0.000 0.000 0.000  0.76
I: 0.750 0.250 0.500  0.76
H: 0.500 0.500 0.000  -0.01
H: 0.250 0.750 0.500  -0.01
Br: 0.473 0.125 0.250  0.34
Br: 0.277 0.625 0.250  0.36
Br: 0.375 0.527 0.750  0.34
Br: 0.875 0.723 0.750  0.35

Output
Its energy relative to the lowest polymorph listed for this composition is 0.6080 eV/atom. As for the space group: I-42d, No. 122.

---

Entry 2:
VASP calculation (GGA-PBE) on a geometry-optimized PmB4Ir4 structure.

a = 5.428 Å, b = 5.428 Å, c = 7.537 Å
α = 90.00°, β = 90.00°, γ = 90.00°
Atoms (fractional coordinates):
Pm: 0.000 0.000 0.000
Pm: 0.500 0.500 0.500
B: 0.500 0.828 0.844
B: 0.500 0.172 0.844
B: 0.828 0.500 0.156
B: 0.172 0.500 0.156
B: 0.328 0.000 0.344
B: 0.672 0.000 0.344
B: 0.000 0.328 0.656
B: 0.000 0.672 0.656
Ir: 0.251 0.500 0.858
Ir: 0.749 0.500 0.858
Ir: 0.500 0.749 0.142
Ir: 0.500 0.251 0.142
Ir: 0.000 0.751 0.358
Ir: 0.000 0.249 0.358
Ir: 0.249 0.000 0.642
Ir: 0.751 0.000 0.642

Output
The formation energy from the elements comes out at -0.481 eV per atom. Its energy relative to the lowest polymorph listed for this composition is 0.0782 eV/atom. As for the space group: P4_2/nmc, No. 137.

---

Entry 3:
VASP calculation (GGA-PBE) on a geometry-optimized LiAgF5 structure.

a = 5.311 Å, b = 5.311 Å, c = 8.313 Å
α = 67.17°, β = 67.17°, γ = 79.74°
Atoms (fractional coordinates):
Li: 0.405 0.595 0.750
Li: 0.595 0.405 0.250
Ag: 0.000 0.000 0.000
Ag: 0.000 0.000 0.500
F: 0.331 0.211 0.855
F: 0.328 0.775 0.520
F: 0.211 0.331 0.355
F: 0.958 0.042 0.750
F: 0.225 0.672 0.980
F: 0.775 0.328 0.020
F: 0.042 0.958 0.250
F: 0.789 0.669 0.645
F: 0.672 0.225 0.480
F: 0.669 0.789 0.145

Output
As for the space group: C2/c, No. 15. The calculation puts the energy relative to the elements, uncorrected at -1.46 eV/atom.

---

Entry 4:
VASP calculation (GGA-PBE) on a geometry-optimized LaPW2 structure.

a = 4.502 Å, b = 4.502 Å, c = 6.174 Å
α = 78.32°, β = 78.32°, γ = 44.15°
Atoms (fractional coordinates):
La: 0.518 0.518 0.475
P: 0.261 0.261 0.159
W: 0.991 0.991 0.009
W: 0.730 0.730 0.858

Output
The formation energy from the elements comes out at 0.076 eV per atom. Its energy relative to the lowest polymorph listed for this composition is 0.1432 eV/atom. As for the space group: Cm, No. 8.